1.
Compound: ZnCrBr2
Source: Alexandria via LeMat-Bulk
Functional: SCAN
Structure: single point on PBEsol structure

```
ZnCrBr2
1.0
3.484 0.000 0.000
0.000 3.781 -0.044
0.000 -1.198 8.274
Br Cr Zn
2 1 1
direct
0.000 0.858 0.690
0.000 0.142 0.310
0.500 0.000 0.500
0.500 0.500 0.000
```

Calculated values
**Density**: 4.23 g cm⁻³
**E_form (uncorrected)**: -0.376 eV/atom

***

2.
Compound: Zn2CrBr
Source: Alexandria via LeMat-Bulk
Functional: SCAN
Structure: single point on PBEsol structure

```
Zn2CrBr
1.0
4.577 0.000 0.000
2.289 3.964 0.000
2.289 1.321 3.737
Br Cr Zn
1 1 2
direct
0.500 0.500 0.500
0.250 0.250 0.250
0.000 0.000 0.000
0.750 0.750 0.750
```

Calculated values
**Density**: 6.43 g cm⁻³
**E_form (uncorrected)**: 0.474 eV/atom
**Density of states at the Fermi level**: 3.38 states/eV/cell

***

3.
Compound: Zr3CrBr
Source: Alexandria via LeMat-Bulk
Functional: SCAN
Structure: single point on PBEsol structure

```
Zr3CrBr
1.0
4.889 0.000 0.000
0.000 4.889 0.000
0.000 0.000 4.889
Cr Br Zr
1 1 3
direct
0.500 0.500 0.500
0.000 0.000 0.000
0.000 0.500 0.000
0.000 0.000 0.500
0.500 0.000 0.000
```

Calculated values
**Density**: 5.76 g cm⁻³
**E_form (uncorrected)**: 0.492 eV/atom
**Density of states at the Fermi level**: 4.08 states/eV/cell